The following is a PBE calculation of a relaxed Li2PmIO6 crystal, from Alexandria via LeMat-Bulk. Values from VASP.

The structure in Quantum ESPRESSO input format:
```
&SYSTEM
  ibrav = 0, nat = 10, ntyp = 4
/
ATOMIC_SPECIES
O 16.00 O.upf
Li 6.94 Li.upf
Pm 145.00 Pm.upf
I 126.90 I.upf
CELL_PARAMETERS angstrom
5.231 0.000 0.000
2.616 4.531 0.000
2.615 1.510 5.273
ATOMIC_POSITIONS crystal
O 0.402 0.674 0.847
Li 0.620 0.621 0.139
O 0.556 0.230 0.256
Li 0.012 0.012 0.964
Pm 0.816 0.816 0.551
O 0.230 0.958 0.256
O 0.958 0.556 0.256
O 0.076 0.402 0.847
I 0.316 0.316 0.052
O 0.674 0.076 0.847
```

Properties
- Formation energy without anion corrections: -1719.7 meV/atom
- Space-group type: No. 148
- E: -5.71 eV per atom



The following is a PBE calculation of a relaxed Hf4HgP crystal, from Alexandria via LeMat-Bulk. Values from VASP.

The structure in Quantum ESPRESSO input format:
```
&SYSTEM
  ibrav = 0, nat = 12, ntyp = 3
/
ATOMIC_SPECIES
Hg 200.59 Hg.upf
P 30.97 P.upf
Hf 178.49 Hf.upf
CELL_PARAMETERS angstrom
-4.587 2.574 -2.752
-3.886 -2.710 3.943
3.844 7.996 1.073
ATOMIC_POSITIONS crystal
Hg 0.500 0.000 0.500
P 0.500 0.500 0.000
Hf 0.810 0.609 0.236
Hf 0.795 0.112 0.807
Hf 0.190 0.391 0.764
Hf 0.705 0.612 0.807
Hf 0.310 0.891 0.764
Hf 0.690 0.109 0.236
Hf 0.295 0.388 0.193
Hg 0.000 0.500 0.500
Hf 0.205 0.888 0.193
P 0.000 0.000 0.000
```

Properties
- Space-group type: No. 14
- Formation enthalpy at 0 K: -0.12 eV per atom
- E: -7.70 eV per atom